AcCd4Ag | PBE | relaxed

Results
As for the symmetry: No. 51. The calculation puts the formation energy at -0.213 eV per atom. The volume comes out at 25.6 A^3/atom.

Lattice parameters (Å, degrees): 4.482 7.922 8.635 90.00 90.00 90.00
Element x y z (fractional)
Ac  0.000  0.618  0.750
Ac  0.000  0.382  0.250
Cd  0.000  0.000  0.500
Cd  0.000  0.000  0.000
Cd  0.500  0.947  0.750
Cd  0.500  0.053  0.250
Cd  0.500  0.690  0.055
Cd  0.500  0.310  0.945
Cd  0.500  0.690  0.445
Cd  0.500  0.310  0.555
Ag  0.000  0.215  0.750
Ag  0.000  0.785  0.250

***

NpScRuRh | PBE | relaxed

Results
As for the symmetry: No. 216. The calculation puts the formation energy at -0.441 eV per atom. The volume comes out at 18.1 A^3/atom.

Lattice parameters (Å, degrees): 4.678 4.678 4.678 60.00 60.00 60.00
Last column: magnetic moment on the atom in μB.
Element x y z (fractional)
Np  0.750  0.750  0.750  3.45
Ru  0.000  0.000  0.000  -0.30
Rh  0.500  0.500  0.500  -0.19
Sc  0.250  0.250  0.250  0.11

***

Dy6TlSi2S3 | PBE | relaxed

Results
As for the symmetry: No. 12. The value obtained for the uncorrected energy is -5.700 eV/atom. The volume comes out at 23.8 A^3/atom.

Lattice parameters (Å, degrees): 4.034 8.253 9.240 107.66 102.61 90.00
Element x y z (fractional)
Dy  0.325  0.919  0.650
Dy  0.670  0.572  0.340
Dy  0.675  0.081  0.350
Dy  0.995  0.273  0.989
Dy  0.005  0.727  0.011
Dy  0.330  0.428  0.660
Tl  0.500  0.000  0.000
Si  0.839  0.682  0.678
Si  0.161  0.318  0.322
S  0.500  0.500  0.000
S  0.832  0.175  0.665
S  0.168  0.825  0.335

***

Nd2Y3ErS6 | PBE | relaxed

Results
As for the symmetry: No. 12. The value obtained for the uncorrected energy is -6.852 eV/atom. The volume comes out at 22.0 A^3/atom.

Lattice parameters (Å, degrees): 3.944 7.972 8.847 103.07 102.88 90.00
Element x y z (fractional)
Nd  0.832  0.664  0.664
Nd  0.168  0.336  0.336
Y  0.500  0.500  0.000
Y  0.830  0.167  0.661
Y  0.170  0.833  0.339
Er  0.500  0.000  0.000
S  0.336  0.928  0.672
S  0.663  0.591  0.326
S  0.664  0.072  0.328
S  0.996  0.244  0.992
S  0.004  0.756  0.008
S  0.337  0.409  0.674

***

Ga2Tc2Hg | PBE | relaxed

Results
As for the symmetry: No. 127. The calculation puts the formation energy at 0.132 eV per atom. The volume comes out at 16.7 A^3/atom.

Lattice parameters (Å, degrees): 7.109 7.109 3.302 90.00 90.00 90.00
Element x y z (fractional)
Hg  0.000  0.000  0.000
Hg  0.500  0.500  0.000
Ga  0.166  0.666  0.500
Ga  0.666  0.834  0.500
Ga  0.834  0.334  0.500
Ga  0.334  0.166  0.500
Tc  0.373  0.873  0.000
Tc  0.873  0.627  0.000
Tc  0.627  0.127  0.000
Tc  0.127  0.373  0.000

***

HfInPt2 | PBE | relaxed

Results
As for the symmetry: No. 123. The calculation puts the formation energy at -0.691 eV per atom. The volume comes out at 18.2 A^3/atom.

Lattice parameters (Å, degrees): 3.010 4.919 4.919 90.00 90.00 90.00
Element x y z (fractional)
Hf  0.500  0.500  0.500
Pt  0.000  0.000  0.500
Pt  0.000  0.500  0.000
In  0.500  0.000  0.000

***

AcSmY2 | PBE | relaxed

Results
As for the symmetry: No. 160. The calculation puts the formation energy at 0.055 eV per atom. The volume comes out at 35.6 A^3/atom.

Lattice parameters (Å, degrees): 3.715 3.715 12.108 81.18 81.18 60.00
Element x y z (fractional)
Ac  0.500  0.500  0.499
Sm  0.666  0.666  0.001
Y  0.080  0.080  0.760
Y  0.253  0.253  0.240

***

LaPmGeN | PBE | relaxed

Results
As for the symmetry: No. 129. The value obtained for the uncorrected energy is -6.569 eV/atom. The volume comes out at 24.5 A^3/atom.

Lattice parameters (Å, degrees): 4.679 4.679 8.961 90.00 90.00 90.00
Element x y z (fractional)
La  0.000  0.000  0.500
La  0.500  0.500  0.500
Pm  0.500  0.000  0.845
Pm  0.000  0.500  0.155
Ge  0.000  0.500  0.807
Ge  0.500  0.000  0.193
N  0.000  0.500  0.406
N  0.500  0.000  0.594

***

CeSm5Dy4 | PBE | relaxed

Results
As for the symmetry: No. 12. The calculation puts the formation energy at 0.106 eV per atom. The volume comes out at 32.8 A^3/atom.

Lattice parameters (Å, degrees): 3.498 10.962 9.103 73.39 101.08 90.00
Last column: magnetic moment on the atom in μB.
Element x y z (fractional)
Ce  0.500  0.000  0.000  0.41
Sm  0.794  0.601  0.588  -0.01
Sm  0.895  0.284  0.791  -0.01
Sm  0.105  0.716  0.209  -0.01
Sm  0.500  0.500  0.000  -0.01
Sm  0.206  0.399  0.412  -0.01
Dy  0.304  0.081  0.609  -0.01
Dy  0.906  0.811  0.813  0.01
Dy  0.696  0.919  0.391  -0.01
Dy  0.094  0.189  0.187  0.01

***

TlCuW2 | PBE | relaxed

Results
As for the symmetry: No. 12. The calculation puts the formation energy at 0.814 eV per atom. The volume comes out at 17.0 A^3/atom.

Lattice parameters (Å, degrees): 5.484 5.177 2.802 80.26 79.89 115.39
Element x y z (fractional)
Cu  0.500  0.500  0.000
Tl  0.500  0.000  0.500
W  0.000  0.000  0.000
W  0.000  0.500  0.500

***

BeGaRuAu | PBE | relaxed

Results
As for the symmetry: No. 216. The calculation puts the formation energy at -0.118 eV per atom. The volume comes out at 13.5 A^3/atom.

Lattice parameters (Å, degrees): 4.242 4.242 4.242 60.00 60.00 60.00
Element x y z (fractional)
Ru  0.750  0.750  0.750
Au  0.250  0.250  0.250
Ga  0.000  0.000  0.000
Be  0.500  0.500  0.500

***

Pr5Sm2DySc | PBE | relaxed

Results
As for the symmetry: No. 140. The calculation puts the formation energy at 0.289 eV per atom. The volume comes out at 34.5 A^3/atom.

Lattice parameters (Å, degrees): 8.490 8.490 10.500 113.85 113.85 90.00
Element x y z (fractional)
Pr  0.929  0.429  0.290
Pr  0.639  0.139  0.710
Pr  0.071  0.571  0.710
Pr  0.139  0.071  0.710
Pr  0.571  0.639  0.710
Pr  0.861  0.929  0.290
Pr  0.429  0.361  0.290
Pr  0.361  0.861  0.290
Pr  0.500  0.500  0.000
Pr  0.000  0.000  0.000
Sm  0.125  0.375  0.000
Sm  0.625  0.125  0.000
Sm  0.375  0.875  0.000
Sm  0.875  0.625  0.000
Dy  0.250  0.250  0.500
Dy  0.750  0.750  0.500
Sc  0.250  0.750  0.500
Sc  0.750  0.250  0.500

***

K3BeRu | PBE | relaxed

Results
As for the symmetry: No. 221. The calculation puts the formation energy at 1.434 eV per atom. The volume comes out at 47.3 A^3/atom.

Lattice parameters (Å, degrees): 6.183 6.183 6.183 90.00 90.00 90.00
Last column: magnetic moment on the atom in μB.
Element x y z (fractional)
Ru  0.000  0.000  0.000  1.70
K  0.000  0.500  0.000  0.00
K  0.000  0.000  0.500  -0.01
K  0.500  0.000  0.000  0.00
Be  0.500  0.500  0.500  -0.07

***

Rb2CaNi | PBE | relaxed

Results
As for the symmetry: No. 225. The calculation puts the formation energy at 0.787 eV per atom. The volume comes out at 41.9 A^3/atom.

Lattice parameters (Å, degrees): 6.187 6.187 6.187 60.00 60.00 60.00
Element x y z (fractional)
Ni  0.500  0.500  0.500
Ca  0.000  0.000  0.000
Rb  0.250  0.250  0.250
Rb  0.750  0.750  0.750

***

Hf3NbPb | PBE | relaxed

Results
As for the symmetry: No. 221. The calculation puts the formation energy at 1.657 eV per atom. The volume comes out at 28.7 A^3/atom.

Lattice parameters (Å, degrees): 5.234 5.234 5.234 90.00 90.00 90.00
Last column: magnetic moment on the atom in μB.
Element x y z (fractional)
Pb  0.000  0.000  0.000  0.00
Nb  0.500  0.500  0.500  0.67
Hf  0.000  0.500  0.000  -0.01
Hf  0.000  0.000  0.500  -0.06
Hf  0.500  0.000  0.000  -0.04

***

BaPrRh | PBE | relaxed

Results
As for the symmetry: No. 156. The calculation puts the formation energy at -0.311 eV per atom. The volume comes out at 37.4 A^3/atom.

Lattice parameters (Å, degrees): 7.029 4.292 4.292 120.00 90.00 90.00
Element x y z (fractional)
Pr  0.220  0.333  0.667
Rh  0.028  0.000  0.000
Ba  0.752  0.667  0.333

***

Ba3PmS4 | PBE | relaxed

Results
As for the symmetry: No. 65. The value obtained for the uncorrected energy is -5.397 eV/atom. The volume comes out at 30.3 A^3/atom.

Lattice parameters (Å, degrees): 4.377 7.657 7.657 109.07 90.00 90.00
Element x y z (fractional)
Ba  0.000  0.000  0.500
Ba  0.500  0.500  0.500
Ba  0.000  0.500  0.000
Pm  0.500  0.000  0.000
S  0.000  0.225  0.225
S  0.500  0.766  0.234
S  0.000  0.775  0.775
S  0.500  0.234  0.766

***

Pr2TmPbC | PBE | relaxed

Results
As for the symmetry: No. 123. The calculation puts the formation energy at -0.417 eV per atom. The volume comes out at 26.2 A^3/atom.

Lattice parameters (Å, degrees): 4.853 5.196 5.196 90.00 90.00 90.00
Element x y z (fractional)
Pr  0.000  0.000  0.500
Pr  0.000  0.500  0.000
Tm  0.500  0.000  0.000
Pb  0.500  0.500  0.500
C  0.000  0.000  0.000

***

Er6ThMg | PBE | relaxed

Results
As for the symmetry: No. 123. The calculation puts the formation energy at 0.038 eV per atom. The volume comes out at 30.1 A^3/atom.

Lattice parameters (Å, degrees): 4.982 4.982 9.714 90.00 90.00 90.00
Element x y z (fractional)
Er  0.500  0.500  0.000
Er  0.500  0.500  0.500
Er  0.500  0.000  0.251
Er  0.500  0.000  0.749
Er  0.000  0.500  0.251
Er  0.000  0.500  0.749
Th  0.000  0.000  0.000
Mg  0.000  0.000  0.500

***

BaAu2C2 | PBE | relaxed

Results
As for the symmetry: No. 127. The calculation puts the formation energy at 0.638 eV per atom. The volume comes out at 22.9 A^3/atom.

Lattice parameters (Å, degrees): 6.233 6.233 5.904 90.00 90.00 90.00
Element x y z (fractional)
C  0.428  0.928  0.000
C  0.928  0.572  0.000
C  0.572  0.072  0.000
C  0.072  0.428  0.000
Au  0.158  0.658  0.500
Au  0.658  0.842  0.500
Au  0.842  0.342  0.500
Au  0.342  0.158  0.500
Ba  0.000  0.000  0.000
Ba  0.500  0.500  0.000